Record 1
{
  "formula": "ReRuPt2",
  "functional": "PBE",
  "state": "optimized geometry",
  "crystal_system": "tetragonal",
  "polymorph_energy_mev_per_atom": 159,
  "space_group": "P4/mmm (123)",
  "lattice": [[-2.538, 2.004, -2.124], [1.878, -1.033, -3.219], [-2.306, -3.243, -0.305]],
  "species": ["Re", "Pt", "Pt", "Ru"],
  "fractional_positions": [[0.500, 0.000, 0.500], [0.000, 0.000, 0.000], [0.500, 0.500, 0.000], [0.000, 0.500, 0.500]]
}

Record 2
{
  "formula": "ReRuPt2",
  "functional": "PBE",
  "state": "optimized geometry",
  "crystal_system": "orthorhombic",
  "polymorph_energy_mev_per_atom": 23,
  "space_group": "Pmm2 (25)",
  "lattice": [[-2.277, 0.865, 1.279], [1.603, -0.867, 3.441], [2.130, 5.151, 0.305]],
  "species": ["Re", "Pt", "Pt", "Ru"],
  "fractional_positions": [[0.000, 0.000, 0.513], [0.500, 0.500, 0.256], [0.000, 0.000, 0.995], [0.500, 0.500, 0.736]]
}

Record 3
{
  "formula": "ReRuPt",
  "functional": "PBE",
  "state": "optimized geometry",
  "crystal_system": "cubic",
  "polymorph_energy_mev_per_atom": 535,
  "space_group": "F-43m (216)",
  "lattice": [[-0.668, 1.581, 3.839], [2.012, -1.617, 3.319], [3.017, 2.217, 1.915]],
  "species": ["Ru", "Re", "Pt"],
  "fractional_positions": [[0.000, 0.000, 0.000], [0.750, 0.750, 0.750], [0.500, 0.500, 0.500]]
}

Record 4
{
  "formula": "ReRuPt2",
  "functional": "PBE",
  "state": "optimized geometry",
  "crystal_system": "trigonal",
  "polymorph_energy_mev_per_atom": 158,
  "space_group": "R-3m (166)",
  "lattice": [[9.207, 0.005, 0.003], [8.791, 2.736, 0.003], [8.791, 1.339, 2.386]],
  "species": ["Re", "Ru", "Pt", "Pt"],
  "fractional_positions": [[0.250, 0.250, 0.250], [0.750, 0.750, 0.750], [0.999, 0.999, 0.999], [0.501, 0.501, 0.501]]
}

Record 5
{
  "formula": "ReRuPt2",
  "functional": "PBE",
  "state": "optimized geometry",
  "crystal_system": "tetragonal",
  "polymorph_energy_mev_per_atom": 68,
  "space_group": "I-4m2 (119)",
  "lattice": [[4.774, 0.000, -0.020], [1.565, 4.510, 0.020], [-3.159, -2.270, 2.768]],
  "species": ["Ru", "Pt", "Pt", "Re"],
  "fractional_positions": [[0.250, 0.750, 0.500], [0.000, 0.000, 0.000], [0.750, 0.250, 0.500], [0.500, 0.500, 0.000]]
}

Record 6
{
  "formula": "ReRuPt",
  "functional": "PBE",
  "state": "optimized geometry",
  "crystal_system": "tetragonal",
  "polymorph_energy_mev_per_atom": 10,
  "space_group": "I4mm (107)",
  "lattice": [[6.168, -0.008, 0.008], [5.554, 2.683, 0.009], [0.614, 0.140, 2.687]],
  "species": ["Ru", "Re", "Pt"],
  "fractional_positions": [[0.677, 0.677, 0.323], [0.326, 0.326, 0.674], [0.997, 0.997, 0.003]]
}

Record 7
{
  "formula": "ReRuPt2",
  "functional": "PBE",
  "state": "optimized geometry",
  "crystal_system": "monoclinic",
  "polymorph_energy_mev_per_atom": 129,
  "space_group": "C2/m (12)",
  "lattice": [[-2.962, 1.912, 3.253], [-3.583, -0.776, 3.094], [2.531, -0.820, 3.970]],
  "species": ["Re", "Pt", "Pt", "Ru"],
  "fractional_positions": [[0.750, 0.750, 0.750], [0.499, 0.499, 0.503], [0.001, 0.001, 0.997], [0.250, 0.250, 0.250]]
}

Record 8
{
  "formula": "ReRuPt2",
  "functional": "PBE",
  "state": "optimized geometry",
  "crystal_system": "orthorhombic",
  "polymorph_energy_mev_per_atom": 127,
  "space_group": "Pmmm (47)",
  "lattice": [[3.993, 0.000, 0.000], [0.000, 2.731, 0.004], [0.000, 2.721, 5.478]],
  "species": ["Ru", "Pt", "Pt", "Re"],
  "fractional_positions": [[0.500, 0.750, 0.750], [0.000, 0.504, 0.497], [0.000, 0.996, 0.003], [0.500, 0.250, 0.250]]
}

Record 9
{
  "formula": "Re2Ru2Pt",
  "functional": "PBE",
  "state": "optimized geometry",
  "crystal_system": "tetragonal",
  "polymorph_energy_mev_per_atom": 21,
  "space_group": "P4/mbm (127)",
  "lattice": [[7.479, 0.000, 0.000], [0.000, 7.479, 0.000], [0.000, 0.000, 2.761]],
  "species": ["Re", "Re", "Re", "Re", "Ru", "Ru", "Ru", "Ru", "Pt", "Pt"],
  "fractional_positions": [[0.376, 0.876, 0.000], [0.624, 0.124, 0.000], [0.124, 0.376, 0.000], [0.876, 0.624, 0.000], [0.667, 0.833, 0.500], [0.333, 0.167, 0.500], [0.833, 0.333, 0.500], [0.167, 0.667, 0.500], [0.000, 0.000, 0.000], [0.500, 0.500, 0.000]]
}

Record 10
{
  "formula": "ReRuPt",
  "functional": "PBE",
  "state": "optimized geometry",
  "crystal_system": "orthorhombic",
  "polymorph_energy_mev_per_atom": 9,
  "space_group": "Imm2 (44)",
  "lattice": [[-0.935, 3.475, -3.159], [-3.047, -0.759, -3.615], [0.654, 0.064, 4.743]],
  "species": ["Ru", "Re", "Pt"],
  "fractional_positions": [[0.674, 0.674, 0.000], [0.326, 0.326, 0.000], [0.000, 0.000, 0.000]]
}

Record 11
{
  "formula": "ReRu2Pt2",
  "functional": "PBE",
  "state": "optimized geometry",
  "crystal_system": "orthorhombic",
  "space_group": "Cmmm (65)",
  "lattice": [[-1.707, -3.052, 2.918], [2.611, -1.636, -3.354], [4.991, -4.172, 2.494]],
  "species": ["Ru", "Ru", "Pt", "Pt", "Re"],
  "fractional_positions": [[0.500, 0.000, 0.500], [0.000, 0.500, 0.500], [0.255, 0.255, 0.245], [0.745, 0.745, 0.755], [0.000, 0.000, 0.000]]
}

Record 12
{
  "formula": "ReRuPt",
  "functional": "PBE",
  "state": "optimized geometry",
  "crystal_system": "monoclinic",
  "polymorph_energy_mev_per_atom": 317,
  "space_group": "C2/m (12)",
  "lattice": [[4.296, 0.000, 0.000], [0.000, 5.454, -0.281], [-2.148, -0.844, 8.583]],
  "species": ["Pt", "Pt", "Pt", "Pt", "Ru", "Ru", "Ru", "Ru", "Re", "Re", "Re", "Re"],
  "fractional_positions": [[0.494, 0.247, 0.987], [0.914, 0.694, 0.828], [0.086, 0.306, 0.172], [0.506, 0.753, 0.013], [0.777, 0.381, 0.554], [0.223, 0.619, 0.446], [0.779, 0.895, 0.557], [0.221, 0.105, 0.443], [0.357, 0.405, 0.714], [0.643, 0.595, 0.286], [0.638, 0.052, 0.276], [0.362, 0.948, 0.724]]
}

no.,formation energy (kJ/mol of atoms)
1,5.32
2,-7.78
3,43.79
4,5.25
5,-3.51
6,-6.85
7,2.45
8,2.26
9,17.36
10,-7.00
11,111.27
12,22.74